No. 1
{"formula": "LiNdSnPd", "functional": "GGA-PBE", "state": "optimized geometry", "magmom_total_mub_per_cell": 0.000, "sg": "F-43m (216)", "dos_at_fermi_per_ev_fu": 0.1, "ef_mev_per_atom": -770.6, "lattice": [[6.880, 0.000, 0.000], [0.000, 6.880, 0.000], [0.000, 0.000, 6.880]], "species": ["Li", "Li", "Li", "Li", "Nd", "Nd", "Nd", "Nd", "Sn", "Sn", "Sn", "Sn", "Pd", "Pd", "Pd", "Pd"], "frac_coords": [[0.000, 0.000, 0.000], [0.000, 0.500, 0.500], [0.500, 0.000, 0.500], [0.500, 0.500, 0.000], [0.250, 0.250, 0.750], [0.250, 0.750, 0.250], [0.750, 0.250, 0.250], [0.750, 0.750, 0.750], [0.250, 0.250, 0.250], [0.250, 0.750, 0.750], [0.750, 0.250, 0.750], [0.750, 0.750, 0.250], [0.000, 0.000, 0.500], [0.000, 0.500, 0.000], [0.500, 0.000, 0.000], [0.500, 0.500, 0.500]]}

No. 2
{"formula": "Li2NdSnPd4", "functional": "GGA-PBE", "state": "optimized geometry", "magmom_total_mub_per_cell": 0.000, "sg": "R-3m (166)", "dos_at_fermi_per_ev_fu": 4.2, "ef_mev_per_atom": -601.8, "lattice": [[2.299, 1.327, 7.755], [-2.299, 1.327, 7.755], [0.000, -2.654, 7.755]], "species": ["Li", "Li", "Nd", "Sn", "Pd", "Pd", "Pd", "Pd"], "frac_coords": [[0.243, 0.243, 0.243], [0.757, 0.757, 0.757], [0.000, 0.000, 0.000], [0.500, 0.500, 0.500], [0.128, 0.128, 0.128], [0.386, 0.386, 0.386], [0.614, 0.614, 0.614], [0.872, 0.872, 0.872]]}

No. 3
{"formula": "LiNd2Sn3Pd4", "functional": "GGA-PBE", "state": "optimized geometry", "magmom_total_mub_per_cell": 0.000, "sg": "P-4m2 (115)", "dos_at_fermi_per_ev_fu": 6.6, "ef_mev_per_atom": -739.6, "lattice": [[4.473, 0.000, 0.000], [0.000, 4.473, 0.000], [0.000, 0.000, 10.935]], "species": ["Li", "Nd", "Nd", "Sn", "Sn", "Sn", "Pd", "Pd", "Pd", "Pd"], "frac_coords": [[0.000, 0.000, 0.000], [0.000, 0.500, 0.746], [0.500, 0.000, 0.254], [0.000, 0.500, 0.366], [0.500, 0.000, 0.634], [0.500, 0.500, 0.000], [0.000, 0.000, 0.500], [0.000, 0.500, 0.129], [0.500, 0.000, 0.871], [0.500, 0.500, 0.500]]}